1.
Here is an optimized crystal structure of Ba2NaTl16 from the Alexandria database. Energies are from PBE.

Properties
- DOS at the Fermi energy (states/eV/f.u.) = 11.2
- formation enthalpy at 0 K (eV per atom) = -0.11
- size of the total moment (μB/f.u.) = 0.0
- electronic total energy (eV/atom) = -2.374

Cell: 11.1485 11.1485 17.1503 Å, 90.00 90.00 120.00°
Space group R3m (No. 160, hexagonal axes)
One atom of each set of equivalent atoms:
Ba1 0.0000 0.0000 0.0000 x3
Ba2 0.0000 0.0000 0.3187 x3
Na1 0.0000 0.0000 0.7276 x3
Tl1 0.0000 0.0000 0.5459 x3
Tl2 0.0372 0.3688 0.3178 x18
Tl3 0.1805 0.3609 0.1273 x9
Tl4 0.1920 0.3839 0.8385 x9
Tl5 0.1944 0.3888 0.4926 x9

***

2.
Here is an optimized crystal structure of Ba8Na2Tl from the Alexandria database. Energies are from PBE.

Properties
- DOS at the Fermi energy (states/eV/f.u.) = 13.0
- formation enthalpy at 0 K (eV per atom) = -0.06
- energy relative to the lowest polymorph listed for this composition (meV/atom) = 0
- size of the total moment (μB/f.u.) = 0.0
- electronic total energy (eV/atom) = -1.916

Cell: 22.1035 6.4265 8.4367 Å, 90.00 95.92 90.00°
Space group C2/m (No. 12)
One atom of each set of equivalent atoms:
Ba1 0.0271 0.0000 0.2791 x4
Ba2 0.0867 0.5000 0.8966 x4
Ba3 0.1591 0.5000 0.4235 x4
Ba4 0.2152 0.0000 0.1282 x4
Na1 0.1609 0.0000 0.6742 x4
Tl1 0.0000 0.5000 0.5000 x2

***

3.
Here is an optimized crystal structure of BaNaTl3 from the Alexandria database. Energies are from PBE.

Properties
- DOS at the Fermi energy (states/eV/f.u.) = 4.4
- formation enthalpy at 0 K (eV per atom) = -0.11
- energy relative to the lowest polymorph listed for this composition (meV/atom) = 86
- size of the total moment (μB/f.u.) = 0.0
- electronic total energy (eV/atom) = -2.180

Cell: 7.7409 7.7409 13.4156 Å, 90.00 90.00 120.00°
Space group P6_3/mmc (No. 194)
One atom of each set of equivalent atoms:
Ba1 0.0000 0.0000 0.0000 x2
Ba2 0.3333 0.6667 0.2500 x2
Na1 0.3333 0.6667 0.6436 x4
Tl1 0.0000 0.5000 0.0000 x6
Tl2 0.1347 0.2693 0.7500 x6

***

4.
Here is an optimized crystal structure of BaNa7Tl5 from the Alexandria database. Energies are from PBE.

Properties
- DOS at the Fermi energy (states/eV/f.u.) = 5.3
- formation enthalpy at 0 K (eV per atom) = -0.13
- size of the total moment (μB/f.u.) = 0.0
- electronic total energy (eV/atom) = -1.901

Cell: 6.5988 11.2669 11.2075 Å, 90.00 90.00 90.00°
Space group Imm2 (No. 44)
One atom of each set of equivalent atoms:
Ba1 0.0000 0.0000 0.0000 x2
Na1 0.0000 0.0000 0.3555 x2
Na2 0.0000 0.0000 0.6705 x2
Na3 0.0000 0.2852 0.5190 x4
Na4 0.0000 0.3498 0.0330 x4
Na5 0.0000 0.5000 0.7398 x2
Tl1 0.0000 0.5000 0.3151 x2
Tl2 0.2438 0.2494 0.7734 x8